(1)
Computed, not measured: CrSi2Ni after structural relaxation at the PBE level of DFT.

Calculated values
* raw formation energy: 0.024 eV per atom
* N(E_F): 3.62 states/eV/f.u.

Lattice parameters (Å, degrees): 3.592 3.616 7.452 90.00 90.00 90.00
Space group Cmm2 (No. 35)
One atom of each set of equivalent atoms:
Cr (0.000, 0.000, 0.000)
Si (0.000, 0.000, 0.539)
Si (0.000, 0.500, 0.240)
Ni (0.000, 0.500, 0.757)


(2)
Computed, not measured: CrSi2Ni after structural relaxation at the PBE level of DFT.

Calculated values
* raw formation energy: -0.190 eV per atom
* N(E_F): 3.25 states/eV/f.u.

Lattice parameters (Å, degrees): 2.6684 2.6684 23.0688 90.00 90.00 120.00
Space group R-3m (No. 166, hexagonal axes)
One atom of each set of equivalent atoms:
Cr (0.0000, 0.0000, 0.0000)
Si (0.0000, 0.0000, 0.2484)
Ni (0.0000, 0.0000, 0.5000)